# 1
## Sc2Fe2Sn (GGA-PBE)

Data for Sc2Fe2Sn after structural relaxation.

Cell: 4.2502 4.2502 6.0577 Å, 69.46 69.46 90.00°
Each line ends with the local moment (μB).
Sites, in units of the cell vectors:
Sn (0.0000, 0.0000, 0.0000)  -0.02
Sc (0.7500, 0.2500, 0.5000)  -0.19
Sc (0.2500, 0.7500, 0.5000)  -0.19
Fe (0.4019, 0.4019, 0.1962)  1.72
Fe (0.5981, 0.5981, 0.8038)  1.72

Properties
As for the magnetic moment: 3.03 μB per formula unit. As for the space group: I4/mmm (139).


# 2
## Li2AlZn16 (GGA-PBE)

Data for Li2AlZn16 after structural relaxation.

Cell: 6.7774 6.7774 6.7774 Å, 82.82 82.82 82.82°
Sites, in units of the cell vectors:
Zn (0.4992, 0.9999, 0.9999)
Zn (0.0000, 0.3104, 0.6893)
Zn (0.1605, 0.6509, 0.6509)
Zn (0.3493, 0.3493, 0.8380)
Zn (0.9999, 0.9999, 0.4992)
Zn (0.1052, 0.1052, 0.1052)
Zn (0.6893, 0.0000, 0.3104)
Zn (0.3104, 0.6893, 0.0000)
Zn (0.6509, 0.1605, 0.6509)
Zn (0.3104, 0.0000, 0.6893)
Zn (0.3493, 0.8380, 0.3493)
Zn (0.9999, 0.4992, 0.9999)
Zn (0.8380, 0.3493, 0.3493)
Zn (0.0000, 0.6893, 0.3104)
Zn (0.6509, 0.6509, 0.1605)
Zn (0.6893, 0.3104, 0.0000)
Li (0.6610, 0.6610, 0.6610)
Li (0.3351, 0.3351, 0.3351)
Al (0.9015, 0.9015, 0.9015)

Properties
As for the magnetic moment: 0.00 μB per formula unit. As for the space group: R3m (160).


no.,E_tot (eV per atom)
1,-6.488
2,-1.510